one) VASP calculation (PBE) on a relaxed structure of Ce2HfH.

Cell and atoms, written as CIF:
```
data_Ce2HfH
_symmetry_space_group_name_H-M 'P 1'
_symmetry_Int_Tables_number 1
_cell_length_a 9.380
_cell_length_b 9.380
_cell_length_c 9.380
_cell_angle_alpha 19.22
_cell_angle_beta 19.22
_cell_angle_gamma 19.22
loop_
_symmetry_equiv_pos_as_xyz
'x,y,z'
loop_
_atom_site_label
_atom_site_fract_x
_atom_site_fract_y
_atom_site_fract_z
_atom_site_occupancy
Ce1 0.108 0.108 0.108 1
Ce2 0.892 0.892 0.892 1
Hf1 0.000 0.000 0.000 1
H1 0.500 0.500 0.500 1
```

## Properties
As for the symmetry: R-3m, No. 166.

---

two) VASP calculation (PBE) on a relaxed structure of Ce2HfH.

Cell and atoms, written as CIF:
```
data_Ce2HfH
_symmetry_space_group_name_H-M 'P 1'
_symmetry_Int_Tables_number 1
_cell_length_a 3.163
_cell_length_b 3.163
_cell_length_c 7.892
_cell_angle_alpha 90.00
_cell_angle_beta 90.00
_cell_angle_gamma 90.00
loop_
_symmetry_equiv_pos_as_xyz
'x,y,z'
loop_
_atom_site_label
_atom_site_fract_x
_atom_site_fract_y
_atom_site_fract_z
_atom_site_occupancy
Ce1 0.000 0.000 0.182 1
Ce2 0.000 0.000 0.818 1
Hf1 0.500 0.500 0.500 1
H1 0.500 0.500 0.000 1
```

## Properties
As for the symmetry: P4/mmm, No. 123.

---

two) (3.7 kJ/mol of atoms below the next structure)